# SrMgPb2 | Alexandria via LeMat-Bulk | PBE | optimized geometry
data_SrMgPb2
_chemical_formula_sum 'Sr2 Mg2 Pb4'
_cell_length_a 4.7265
_cell_length_b 4.7773
_cell_length_c 11.0895
_cell_angle_alpha 90.00
_cell_angle_beta 90.00
_cell_angle_gamma 90.00
_space_group_name_H-M_alt 'I m m 2'
_space_group_IT_number 44
loop_
_space_group_symop_operation_xyz
'x,y,z'
'-x,-y,z'
'-x,y,z'
'x,-y,z'
'x+1/2,y+1/2,z+1/2'
'-x+1/2,-y+1/2,z+1/2'
'-x+1/2,y+1/2,z+1/2'
'x+1/2,-y+1/2,z+1/2'
loop_
_atom_site_label
_atom_site_type_symbol
_atom_site_fract_x
_atom_site_fract_y
_atom_site_fract_z
_atom_site_occupancy
Sr1 Sr 0.0000 0.0000 0.0000 1
Mg1 Mg 0.0000 0.5000 0.7505 1
Pb1 Pb 0.0000 0.0000 0.5521 1
Pb2 Pb 0.0000 0.5000 0.2650 1
# Crystal system ... orthorhombic
# Mass density ... 6.98 g cm⁻³
# Total magnetic moment ... 0.00 μB per formula unit
# ΔE_f ... -0.25 eV/atom

# SrMgPb3 | Alexandria via LeMat-Bulk | PBE | optimized geometry
data_SrMgPb3
_chemical_formula_sum 'Sr1 Mg1 Pb3'
_cell_length_a 5.5821
_cell_length_b 5.5821
_cell_length_c 5.5821
_cell_angle_alpha 90.00
_cell_angle_beta 90.00
_cell_angle_gamma 90.00
_space_group_name_H-M_alt 'P m -3 m'
_space_group_IT_number 221
_space_group_name_Hall '-P 4 2 3'
loop_
_atom_site_label
_atom_site_type_symbol
_atom_site_fract_x
_atom_site_fract_y
_atom_site_fract_z
_atom_site_occupancy
Sr1 Sr 0.0000 0.0000 0.0000 1
Mg1 Mg 0.5000 0.5000 0.5000 1
Pb1 Pb 0.0000 0.5000 0.5000 1
# Offset from the most stable computed form ... 0.0 meV/atom
# Crystal system ... cubic
# Mass density ... 7.00 g cm⁻³
# Total magnetic moment ... 0.00 μB per formula unit
# ΔE_f ... -0.02 eV/atom

# SrMg5Pb6 | Alexandria via LeMat-Bulk | PBE | optimized geometry
data_SrMg5Pb6
_chemical_formula_sum 'Sr2 Mg10 Pb12'
_cell_length_a 16.7124
_cell_length_b 7.9811
_cell_length_c 5.1942
_cell_angle_alpha 90.00
_cell_angle_beta 106.90
_cell_angle_gamma 90.00
_space_group_name_H-M_alt 'C 1 2/m 1'
_space_group_IT_number 12
loop_
_space_group_symop_operation_xyz
'x,y,z'
'-x,-y,-z'
'-x,y,-z'
'x,-y,z'
'x+1/2,y+1/2,z'
'-x+1/2,-y+1/2,-z'
'-x+1/2,y+1/2,-z'
'x+1/2,-y+1/2,z'
loop_
_atom_site_label
_atom_site_type_symbol
_atom_site_fract_x
_atom_site_fract_y
_atom_site_fract_z
_atom_site_occupancy
Sr1 Sr 0.0000 0.0000 0.0000 1
Mg1 Mg 0.0000 0.5000 0.0000 1
Mg2 Mg 0.1660 0.0000 0.6640 1
Mg3 Mg 0.1715 0.5000 0.6732 1
Pb1 Pb 0.0000 0.2801 0.5000 1
Pb2 Pb 0.1734 0.2596 0.1732 1
# Crystal system ... monoclinic
# Mass density ... 7.28 g cm⁻³
# Total magnetic moment ... 0.00 μB per formula unit
# ΔE_f ... -0.13 eV/atom

# SrMgPb3 | Alexandria via LeMat-Bulk | PBE | optimized geometry
data_SrMgPb3
_chemical_formula_sum 'Sr1 Mg1 Pb3'
_cell_length_a 6.1275
_cell_length_b 6.1275
_cell_length_c 6.1275
_cell_angle_alpha 90.00
_cell_angle_beta 90.00
_cell_angle_gamma 90.00
_space_group_name_H-M_alt 'P m -3 m'
_space_group_IT_number 221
_space_group_name_Hall '-P 4 2 3'
loop_
_atom_site_label
_atom_site_type_symbol
_atom_site_fract_x
_atom_site_fract_y
_atom_site_fract_z
_atom_site_occupancy
Sr1 Sr 0.0000 0.0000 0.0000 1
Mg1 Mg 0.5000 0.5000 0.5000 1
Pb1 Pb 0.0000 0.0000 0.5000 1
# Offset from the most stable computed form ... 767.7 meV/atom
# Crystal system ... cubic
# Mass density ... 5.29 g cm⁻³
# Total magnetic moment ... 0.48 μB per formula unit
# ΔE_f ... 0.74 eV/atom

# SrMg3Pb | Alexandria via LeMat-Bulk | PBE | optimized geometry
data_SrMg3Pb
_chemical_formula_sum 'Sr1 Mg3 Pb1'
_cell_length_a 5.6221
_cell_length_b 5.6221
_cell_length_c 5.6221
_cell_angle_alpha 90.00
_cell_angle_beta 90.00
_cell_angle_gamma 90.00
_space_group_name_H-M_alt 'P m -3 m'
_space_group_IT_number 221
_space_group_name_Hall '-P 4 2 3'
loop_
_atom_site_label
_atom_site_type_symbol
_atom_site_fract_x
_atom_site_fract_y
_atom_site_fract_z
_atom_site_occupancy
Sr1 Sr 0.0000 0.0000 0.0000 1
Mg1 Mg 0.0000 0.5000 0.5000 1
Pb1 Pb 0.5000 0.5000 0.5000 1
# Offset from the most stable computed form ... 0.0 meV/atom
# Crystal system ... cubic
# Mass density ... 3.44 g cm⁻³
# Total magnetic moment ... 0.00 μB per formula unit
# ΔE_f ... 0.19 eV/atom

# Sr4MgPb | Alexandria via LeMat-Bulk | PBE | optimized geometry
data_Sr4MgPb
_chemical_formula_sum 'Sr16 Mg4 Pb4'
_cell_length_a 10.2384
_cell_length_b 10.2384
_cell_length_c 10.2384
_cell_angle_alpha 90.00
_cell_angle_beta 90.00
_cell_angle_gamma 90.00
_space_group_name_H-M_alt 'F -4 3 m'
_space_group_IT_number 216
_space_group_name_Hall 'F -4 2 3'
loop_
_atom_site_label
_atom_site_type_symbol
_atom_site_fract_x
_atom_site_fract_y
_atom_site_fract_z
_atom_site_occupancy
Sr1 Sr 0.1255 0.1255 0.1255 1
Mg1 Mg 0.2500 0.2500 0.7500 1
Pb1 Pb 0.0000 0.0000 0.5000 1
# Crystal system ... cubic
# Mass density ... 3.60 g cm⁻³
# Total magnetic moment ... 0.00 μB per formula unit
# ΔE_f ... 0.30 eV/atom

no.,VASP energy (eV per atom)
1,-2.9219
2,-2.9036
3,-2.7860
4,-2.1360
5,-1.8419
6,-1.7084